# 1
A geometry-optimized NiPtSe2 structure. Source: Alexandria via LeMat-Bulk, functional GGA-PBE.

a = 4.500 Å, b = 4.497 Å, c = 4.501 Å
α = 68.49°, β = 74.49°, γ = 111.50°
Element x y z (fractional)
Ni: 0.000 0.500 0.500
Se: 0.500 0.000 0.500
Se: 0.000 0.000 0.000
Pt: 0.500 0.500 0.000

**Crystal system**: tetragonal
**Theoretical density**: 9.79 Mg/m³
**Formation energy without anion corrections**: 0.068 eV/atom
**Space group**: I4/mmm, No. 139

---

# 2
A geometry-optimized BaCa4Cl structure. Source: Alexandria via LeMat-Bulk, functional GGA-PBE.

a = 7.420 Å, b = 7.420 Å, c = 7.420 Å
α = 60.00°, β = 60.00°, γ = 60.00°
Element x y z (fractional)
Ca: 0.374 0.879 0.374
Ca: 0.374 0.374 0.879
Ca: 0.374 0.374 0.374
Ca: 0.879 0.374 0.374
Cl: 0.750 0.750 0.750
Ba: 0.000 0.000 0.000

**Crystal system**: cubic
**Theoretical density**: 1.91 Mg/m³
**Formation energy without anion corrections**: -0.054 eV/atom
**Space group**: F-43m, No. 216

---

# 3
A geometry-optimized HfSeF2 structure. Source: Alexandria via LeMat-Bulk, functional GGA-PBE.

a = 4.249 Å, b = 4.249 Å, c = 7.742 Å
α = 74.07°, β = 74.07°, γ = 90.00°
Element x y z (fractional)
F: 0.375 0.185 0.750
F: 0.935 0.625 0.250
F: 0.875 0.065 0.750
F: 0.815 0.125 0.250
Se: 0.500 0.500 0.000
Se: 0.250 0.750 0.500
Hf: 0.750 0.250 0.500
Hf: 0.000 0.000 0.000

**Crystal system**: tetragonal
**Distance to the lowest polymorph of the same formula**: 0.0 meV/atom
**Theoretical density**: 7.62 Mg/m³
**Formation energy without anion corrections**: -2.197 eV/atom
**Space group**: I-42d, No. 122